A:
Sm5HoTm, relaxed, DFT GGA-PBE; magnetic moment = 0.00 μB/cell
1.0
6.239 0.000 0.000
-0.725 6.567 0.000
-0.725 -3.188 5.768
Sm Ho Tm
5 1 1
Direct
0.000 0.000 0.000
0.272 0.085 0.584
0.499 0.688 0.807
0.501 0.312 0.193
0.728 0.915 0.416
0.000 0.500 0.000
0.000 0.500 0.500


B:
Sm5HoTm, relaxed, DFT GGA-PBE; magnetic moment = 0.00 μB/cell
1.0
7.769 0.000 0.000
0.000 11.783 0.000
0.000 0.000 6.306
Sm Ho Tm
10 2 2
Direct
0.000 0.000 0.000
0.000 0.251 0.543
0.000 0.749 0.543
0.185 0.500 0.773
0.315 0.000 0.273
0.500 0.249 0.043
0.500 0.500 0.500
0.500 0.751 0.043
0.685 0.000 0.273
0.815 0.500 0.773
0.000 0.500 0.260
0.500 0.000 0.760
0.000 0.000 0.538
0.500 0.500 0.038


Stability, highest: A


A:
Sm7Ho3Tm, relaxed, DFT GGA-PBE; magnetic moment = 0.00 μB/cell
1.0
6.356 -5.623 0.000
6.356 5.623 0.000
-2.686 0.000 5.194
Sm Ho Tm
7 3 1
Direct
0.000 0.000 0.000
0.097 0.518 0.308
0.290 0.290 0.792
0.482 0.903 0.692
0.518 0.097 0.308
0.710 0.710 0.208
0.903 0.482 0.692
0.295 0.705 0.000
0.500 0.500 0.500
0.705 0.295 0.000
0.000 0.000 0.500


B:
Sm7Ho3Tm, relaxed, DFT GGA-PBE; magnetic moment = 0.00 μB/cell
1.0
7.039 0.000 0.000
0.000 5.597 0.000
-3.493 0.000 9.334
Sm Ho Tm
7 3 1
Direct
0.000 0.000 0.000
0.145 0.500 0.292
0.321 0.500 0.639
0.415 0.000 0.829
0.585 0.000 0.171
0.679 0.500 0.361
0.855 0.500 0.708
0.000 0.000 0.500
0.280 0.500 0.000
0.720 0.500 0.000
0.500 0.000 0.500


Stability, highest: B